Density functional theory data (PBE+U) for NiSnAs2F after structural relaxation.

Energy   -16.50 eV/cell

Unit cell a=5.289 b=5.289 c=4.167 alpha=90.00 beta=90.00 gamma=90.00
Space group P4/mmm (No. 123)
Unique sites:
Ni 0.000 0.000 0.000 [1 per cell]
Sn 0.500 0.500 0.500 [1 per cell]
As 0.000 0.500 0.500 [2 per cell]
F 0.500 0.500 0.000 [1 per cell]